No. 1
{
  "formula": "LaTbHoAl",
  "functional": "PBE-GGA",
  "state": "relaxed",
  "ef_ev_per_atom": -0.1855,
  "spacegroup": "P4mm (99)",
  "lattice": [[3.550, 0.000, 0.000], [0.000, 3.550, 0.000], [0.000, 0.000, 9.188]],
  "species": ["La", "Tb", "Ho", "Al"],
  "fractional_positions": [[0.000, 0.000, 0.000], [0.500, 0.500, 0.703], [0.500, 0.500, 0.292], [0.000, 0.000, 0.495]]
}

=====

No. 2
{
  "formula": "LaTbHoAl",
  "functional": "PBE-GGA",
  "state": "relaxed",
  "ef_ev_per_atom": -0.0657,
  "spacegroup": "F-43m (216)",
  "lattice": [[0.000, 3.847, 3.847], [3.847, 0.000, 3.847], [3.847, 3.847, 0.000]],
  "species": ["La", "Tb", "Ho", "Al"],
  "fractional_positions": [[0.000, 0.000, 0.000], [0.500, 0.500, 0.500], [0.250, 0.250, 0.250], [0.750, 0.750, 0.750]]
}

=====

No. 3
{
  "formula": "LaHoTmAl",
  "functional": "PBE-GGA",
  "state": "relaxed",
  "ef_ev_per_atom": -0.1904,
  "spacegroup": "P4mm (99)",
  "lattice": [[3.528, 0.000, 0.000], [0.000, 3.528, 0.000], [0.000, 0.000, 9.142]],
  "species": ["La", "Ho", "Tm", "Al"],
  "fractional_positions": [[0.000, 0.000, 0.000], [0.500, 0.500, 0.702], [0.500, 0.500, 0.293], [0.000, 0.000, 0.495]]
}

=====

No. 4
{
  "formula": "LaHoTmAl",
  "functional": "PBE-GGA",
  "state": "relaxed",
  "ef_ev_per_atom": -0.0745,
  "spacegroup": "F-43m (216)",
  "lattice": [[0.000, 3.826, 3.826], [3.826, 0.000, 3.826], [3.826, 3.826, 0.000]],
  "species": ["La", "Ho", "Tm", "Al"],
  "fractional_positions": [[0.000, 0.000, 0.000], [0.500, 0.500, 0.500], [0.750, 0.750, 0.750], [0.250, 0.250, 0.250]]
}

=====

No. 5
{
  "formula": "LaHoAlZn",
  "functional": "PBE-GGA",
  "state": "relaxed",
  "ef_ev_per_atom": -0.3389,
  "spacegroup": "F-43m (216)",
  "lattice": [[0.000, 3.693, 3.693], [3.693, 0.000, 3.693], [3.693, 3.693, 0.000]],
  "species": ["La", "Ho", "Al", "Zn"],
  "fractional_positions": [[0.000, 0.000, 0.000], [0.500, 0.500, 0.500], [0.750, 0.750, 0.750], [0.250, 0.250, 0.250]]
}

=====

No. 6
{
  "formula": "LaHoAlZn",
  "functional": "PBE-GGA",
  "state": "relaxed",
  "ef_ev_per_atom": -0.3569,
  "spacegroup": "P4mm (99)",
  "lattice": [[3.649, 0.000, 0.000], [0.000, 3.649, 0.000], [0.000, 0.000, 7.476]],
  "species": ["La", "Ho", "Al", "Zn"],
  "fractional_positions": [[0.000, 0.000, 0.000], [0.000, 0.000, 0.494], [0.500, 0.500, 0.728], [0.500, 0.500, 0.283]]
}

=====

No. 7
{
  "formula": "LaHo2Al2Zn2",
  "functional": "PBE-GGA",
  "state": "relaxed",
  "ef_ev_per_atom": -0.3142,
  "spacegroup": "R-3m (166)",
  "lattice": [[2.275, 1.313, 9.348], [-2.275, 1.313, 9.348], [0.000, -2.627, 9.348]],
  "species": ["La", "Ho", "Ho", "Al", "Al", "Zn", "Zn"],
  "fractional_positions": [[0.000, 0.000, 0.000], [0.130, 0.130, 0.130], [0.870, 0.870, 0.870], [0.257, 0.257, 0.257], [0.743, 0.743, 0.743], [0.409, 0.409, 0.409], [0.591, 0.591, 0.591]]
}

=====

No. 8
{
  "formula": "LiHo3Al2",
  "functional": "PBE-GGA",
  "state": "relaxed",
  "ef_ev_per_atom": -0.2552,
  "spacegroup": "P4/mmm (123)",
  "lattice": [[3.562, 0.000, 0.000], [0.000, 3.562, 0.000], [0.000, 0.000, 11.219]],
  "species": ["Li", "Ho", "Ho", "Ho", "Al", "Al"],
  "fractional_positions": [[0.000, 0.000, 0.000], [0.500, 0.500, 0.180], [0.500, 0.500, 0.500], [0.500, 0.500, 0.820], [0.000, 0.000, 0.335], [0.000, 0.000, 0.665]]
}

=====

No. 9
{
  "formula": "LiHo6Al5",
  "functional": "PBE-GGA",
  "state": "relaxed",
  "ef_ev_per_atom": -0.3565,
  "spacegroup": "Cmmm (65)",
  "lattice": [[2.551, -7.665, 0.000], [2.551, 7.665, 0.000], [0.000, 0.000, 7.133]],
  "species": ["Li", "Ho", "Ho", "Ho", "Ho", "Ho", "Ho", "Al", "Al", "Al", "Al", "Al"],
  "fractional_positions": [[0.000, 0.000, 0.000], [0.168, 0.832, 0.249], [0.168, 0.832, 0.751], [0.500, 0.500, 0.252], [0.500, 0.500, 0.748], [0.832, 0.168, 0.249], [0.832, 0.168, 0.751], [0.000, 0.000, 0.500], [0.334, 0.666, 0.500], [0.339, 0.661, 0.000], [0.661, 0.339, 0.000], [0.666, 0.334, 0.500]]
}

=====

No. 10
{
  "formula": "LiHo4Al3",
  "functional": "PBE-GGA",
  "state": "relaxed",
  "ef_ev_per_atom": -0.3253,
  "spacegroup": "Fmmm (69)",
  "lattice": [[0.000, 3.567, 7.353], [3.563, 0.000, 7.353], [3.563, 3.567, 0.000]],
  "species": ["Li", "Ho", "Ho", "Ho", "Ho", "Al", "Al", "Al"],
  "fractional_positions": [[0.000, 0.000, 0.000], [0.127, 0.127, 0.373], [0.373, 0.373, 0.127], [0.627, 0.627, 0.873], [0.873, 0.873, 0.627], [0.248, 0.248, 0.752], [0.500, 0.500, 0.500], [0.752, 0.752, 0.248]]
}

=====

No. 11
{
  "formula": "LiHo2Al",
  "functional": "PBE-GGA",
  "state": "relaxed",
  "ef_ev_per_atom": -0.1866,
  "spacegroup": "P4/mmm (123)",
  "lattice": [[5.081, 0.000, 0.000], [0.000, 5.081, 0.000], [0.000, 0.000, 3.695]],
  "species": ["Li", "Ho", "Ho", "Al"],
  "fractional_positions": [[0.000, 0.000, 0.000], [0.000, 0.500, 0.500], [0.500, 0.000, 0.500], [0.500, 0.500, 0.000]]
}

=====

No. 12
{
  "formula": "Li2Ho3Al4",
  "functional": "PBE-GGA",
  "state": "relaxed",
  "ef_ev_per_atom": -0.3188,
  "spacegroup": "C2/m (12)",
  "lattice": [[5.306, -2.331, 0.000], [5.306, 2.331, 0.000], [-4.104, 0.000, 7.766]],
  "species": ["Li", "Li", "Ho", "Ho", "Ho", "Al", "Al", "Al", "Al"],
  "fractional_positions": [[0.095, 0.095, 0.264], [0.905, 0.905, 0.736], [0.173, 0.173, 0.657], [0.500, 0.500, 0.000], [0.827, 0.827, 0.343], [0.239, 0.239, 0.073], [0.466, 0.466, 0.628], [0.534, 0.534, 0.372], [0.761, 0.761, 0.927]]
}